## Li4Fe3Si3O12 (PBE with a Hubbard U)

Data for a geometry-optimized Li4Fe3Si3O12 structure.

## Properties
The total magnetic moment is 14.00 Bohr magnetons per cell. As for the volume: 256 Å³ per cell. The calculation puts the total energy at -147.62 eV per formula unit.

Unit cell a=5.474 b=5.474 c=12.491 alpha=71.61 beta=71.61 gamma=46.82
Last column: magnetic moment on the atom in μB.
Atoms (fractional coordinates):
1 Li 0.671 0.997 0.412  0.00
2 Li 0.003 0.329 0.588  0.00
3 Li 0.672 0.006 0.918  0.00
4 Li 0.994 0.328 0.082  0.00
5 Fe 0.329 0.671 0.000  3.74
6 Fe 0.997 0.322 0.329  4.28
7 Fe 0.678 0.003 0.671  4.28
8 Si 0.662 0.996 0.166  0.01
9 Si 0.331 0.669 0.500  0.01
10 Si 0.004 0.338 0.834  0.01
11 O 0.813 0.567 0.716  0.15
12 O 0.433 0.187 0.284  0.15
13 O 0.002 0.952 0.129  0.04
14 O 0.702 0.584 0.460  0.09
15 O 0.048 0.998 0.871  0.04
16 O 0.435 0.211 0.062  0.03
17 O 0.765 0.617 0.204  0.16
18 O 0.789 0.565 0.938  0.03
19 O 0.106 0.900 0.605  0.11
20 O 0.383 0.235 0.796  0.16
21 O 0.100 0.894 0.395  0.11
22 O 0.416 0.298 0.540  0.09